Material: HfS
Method: DFT, GGA-PBE
State: optimized geometry

a = 3.5396 Å, b = 12.0879 Å, c = 6.0164 Å
α = 90.00°, β = 90.00°, γ = 90.00°
With the nearest neighbours (Å) after each atom.
Fractional positions:
1 Hf 0.2500 0.1194 0.0044  4 S 2.54-2.55
2 Hf 0.2500 0.3806 0.0044  4 S 2.54-2.55
3 Hf 0.2500 0.7500 0.3494  4 S 2.50-2.58
4 Hf 0.7500 0.2500 0.6506  4 S 2.50-2.58
5 Hf 0.7500 0.6194 0.9956  4 S 2.54-2.55
6 Hf 0.7500 0.8806 0.9956  4 S 2.54-2.55
7 S 0.2500 0.2500 0.3377  4 Hf 2.55-2.58
8 S 0.2500 0.5474 0.2629  4 Hf 2.50-2.55
9 S 0.2500 0.9526 0.2629  4 Hf 2.50-2.55
10 S 0.7500 0.0474 0.7371  4 Hf 2.50-2.55
11 S 0.7500 0.4526 0.7371  4 Hf 2.50-2.55
12 S 0.7500 0.7500 0.6623  4 Hf 2.55-2.58

Summary:
SG: Pmmn
Raw total energy in eV/atom: -8.2163
Calculated density in Mg/m³: 8.15